[1]
VASP calculation (PBE) on an optimized crystal structure of TiGeIrAu2.

Lattice parameters (Å, degrees): 5.0020 4.5368 5.0020 90.00 90.00 90.00
Closest atoms and distances in Å follow each position.
Fractional coordinates of all 5 atoms:
Ti (0.0000, 0.0000, 0.0000)  2 Ir 2.27, 4 Au 2.50
Ge (0.5000, 0.5000, 0.5000)  8 Au 3.38, 4 Ir 3.54
Ir (0.0000, 0.5000, 0.0000)  2 Ti 2.27
Au (0.5000, 0.0000, 0.0000)  2 Ti 2.50
Au (0.0000, 0.0000, 0.5000)  2 Ti 2.50

## Properties
ρ: 10.34 g cm⁻³
space-group type: P4/mmm
calculated formation energy: 4.1 eV/f.u.
final energy: -23.84 eV per formula unit

[2]
VASP calculation (PBE) on an optimized crystal structure of B2PdF.

Lattice parameters (Å, degrees): 3.8941 3.8941 3.8941 60.00 60.00 60.00
Closest atoms and distances in Å follow each position.
Fractional coordinates of all 4 atoms:
Pd (0.5000, 0.5000, 0.5000)  8 B 2.38
B (0.2500, 0.2500, 0.2500)  4 F 2.38, 4 Pd 2.38
B (0.7500, 0.7500, 0.7500)  4 F 2.38, 4 Pd 2.38
F (0.0000, 0.0000, 0.0000)  8 B 2.38

## Properties
ρ: 5.85 g cm⁻³
formation energy (no corrections): 3.97 eV/f.u.
space-group type: Fm-3m
relative energy among the computed polymorphs: 0.438 eV/atom
final energy: -16.45 eV per formula unit

[3]
VASP calculation (PBE) on an optimized crystal structure of Zn2In2Os.

Lattice parameters (Å, degrees): 3.4031 3.4031 8.5058 78.46 78.46 90.00
Closest atoms and distances in Å follow each position.
Fractional coordinates of all 5 atoms:
Zn (0.2500, 0.7500, 0.5000)  4 Zn 2.41
In (0.5946, 0.5946, 0.8108)  4 Os 2.86, 4 Zn 3.05, 1 In 3.09
Zn (0.7500, 0.2500, 0.5000)  4 Zn 2.41
Os (0.0000, 0.0000, 0.0000)  8 In 2.86
In (0.4054, 0.4054, 0.1892)  4 Os 2.86, 4 Zn 3.05, 1 In 3.09

## Properties
ρ: 9.68 g cm⁻³
space-group type: I4/mmm
calculated formation energy: 2.2 eV/f.u.
relative energy among the computed polymorphs: 0.000 eV/atom
final energy: -17.02 eV per formula unit

[4]
VASP calculation (PBE) on an optimized crystal structure of SiSnAsSe2.

Lattice parameters (Å, degrees): 5.2016 4.7413 5.2016 90.00 90.00 90.00
Closest atoms and distances in Å follow each position.
Fractional coordinates of all 5 atoms:
Si (0.0000, 0.5000, 0.0000)  2 As 2.37
As (0.0000, 0.0000, 0.0000)  2 Si 2.37, 4 Se 2.60
Se (0.5000, 0.0000, 0.0000)  2 As 2.60
Se (0.0000, 0.0000, 0.5000)  2 As 2.60
Sn (0.5000, 0.5000, 0.5000)  8 Se 3.52, 4 Si 3.68

## Properties
ρ: 4.91 g cm⁻³
formation energy (no corrections): 2.25 eV/f.u.
space-group type: P4/mmm
relative energy among the computed polymorphs: 0.239 eV/atom
final energy: -18.79 eV per formula unit

[5]
VASP calculation (PBE) on an optimized crystal structure of Mn2MoSe.

Lattice parameters (Å, degrees): 4.8063 4.8063 4.8063 134.26 134.26 66.68
Closest atoms and distances in Å follow each position.
Fractional coordinates of all 4 atoms:
Mo (0.2500, 0.7500, 0.5000)  4 Se 2.64, 8 Mn 2.74
Se (0.7500, 0.2500, 0.5000)  4 Mo 2.64, 8 Mn 2.74
Mn (0.5000, 0.5000, 0.0000)  4 Mn 2.64, 4 Mo 2.74, 4 Se 2.74
Mn (0.0000, 0.0000, 0.0000)  4 Mn 2.64, 4 Se 2.74, 4 Mo 2.74

## Properties
ρ: 8.44 g cm⁻³
formation energy (no corrections): 1.35 eV/f.u.
space-group type: I4/mmm
final energy: -31.30 eV per formula unit

[6]
VASP calculation (PBE) on an optimized crystal structure of Rb2TeIrI6.

Lattice parameters (Å, degrees): 8.3767 8.3767 8.3165 59.76 59.76 90.00
Closest atoms and distances in Å follow each position.
Fractional coordinates of all 10 atoms:
I (0.2306, 0.7694, 0.0000)  1 Ir 2.73
Rb (0.7500, 0.2500, 0.5000)  12 I 4.16-4.19
I (0.7694, 0.7694, 0.0000)  1 Ir 2.73
Rb (0.2500, 0.7500, 0.5000)  12 I 4.16-4.19
I (0.2306, 0.2306, 0.0000)  1 Ir 2.73
Ir (0.0000, 0.0000, 0.0000)  6 I 2.73
I (0.7694, 0.2306, 0.0000)  1 Ir 2.73
Te (0.5000, 0.5000, 0.0000)  6 I 3.11-3.19
I (0.7662, 0.7662, 0.4675)  1 Ir 2.73
I (0.2338, 0.2338, 0.5325)  1 Ir 2.73

## Properties
ρ: 5.08 g cm⁻³
formation energy (no corrections): -5.09 eV/f.u.
space-group type: I4/mmm
final energy: -28.33 eV per formula unit

[7]
VASP calculation (PBE) on an optimized crystal structure of NdTh2In.

Lattice parameters (Å, degrees): 5.5783 5.5783 5.5783 60.00 60.00 60.00
Closest atoms and distances in Å follow each position.
Fractional coordinates of all 4 atoms:
Nd (0.0000, 0.0000, 0.0000)  8 Th 3.42
Th (0.2500, 0.2500, 0.2500)  4 In 3.42, 4 Nd 3.42
In (0.5000, 0.5000, 0.5000)  8 Th 3.42
Th (0.7500, 0.7500, 0.7500)  4 In 3.42, 4 Nd 3.42

## Properties
ρ: 9.78 g cm⁻³
space-group type: Fm-3m
calculated formation energy: 0.1 eV/f.u.
relative energy among the computed polymorphs: 0.199 eV/atom
final energy: -22.28 eV per formula unit

[8]
VASP calculation (PBE) on an optimized crystal structure of ZnPd2Pt4.

Lattice parameters (Å, degrees): 4.6040 4.3320 13.3150 90.00 90.00 122.10
Closest atoms and distances in Å follow each position.
Fractional coordinates of all 14 atoms:
Pt (0.7802, 0.5604, 0.3527)  5 Pt 2.73-2.97, 4 Pd 2.74-3.02, 3 Zn 2.77-2.96
Pd (0.8440, 0.6881, 0.5552)  7 Pt 2.62-2.76, 1 Pd 2.72
Pt (0.5000, 0.0000, 0.5000)  6 Pd 2.63-2.67, 2 Pt 2.84
Pd (0.1560, 0.3119, 0.4448)  7 Pt 2.62-2.76, 1 Pd 2.72
Zn (0.4515, 0.9030, 0.2500)  5 Pt 2.54-2.77
Pt (0.1059, 0.2118, 0.2500)  3 Zn 2.54-2.57, 2 Pd 2.62, 2 Pt 2.75
Zn (0.5485, 0.0970, 0.7500)  5 Pt 2.54-2.77
Pt (0.2198, 0.4396, 0.6473)  5 Pt 2.73-2.97, 4 Pd 2.74-3.02, 3 Zn 2.77-2.96
Pd (0.8440, 0.6881, 0.9448)  7 Pt 2.62-2.76, 1 Pd 2.72
Pt (0.8941, 0.7882, 0.7500)  3 Zn 2.54-2.57, 2 Pd 2.62, 2 Pt 2.75
Pt (0.7802, 0.5604, 0.1473)  5 Pt 2.73-2.97, 4 Pd 2.74-3.02, 3 Zn 2.77-2.96
Pt (0.2198, 0.4396, 0.8527)  5 Pt 2.73-2.97, 4 Pd 2.74-3.02, 3 Zn 2.77-2.96
Pd (0.1560, 0.3119, 0.0552)  7 Pt 2.62-2.76, 1 Pd 2.72
Pt (0.5000, 0.0000, 0.0000)  6 Pd 2.63-2.67, 2 Pt 2.84

## Properties
ρ: 15.63 g cm⁻³
space-group type: Cmcm
calculated formation energy: -0.1 eV/f.u.
relative energy among the computed polymorphs: 0.054 eV/atom
final energy: -35.93 eV per formula unit

[9]
VASP calculation (PBE) on an optimized crystal structure of MgAlAg2.

Lattice parameters (Å, degrees): 4.3343 2.9281 5.7957 76.12 90.00 90.00
Closest atoms and distances in Å follow each position.
Fractional coordinates of all 4 atoms:
Ag (0.0000, 0.0777, 0.0091)  2 Al 2.69, 2 Mg 2.93, 4 Ag 2.93-2.98
Mg (0.5000, 0.7500, 0.7500)  2 Al 2.92, 8 Ag 2.93-3.07, 2 Mg 2.93
Al (0.5000, 0.2500, 0.2500)  4 Ag 2.69, 2 Mg 2.92, 2 Al 2.93
Ag (0.0000, 0.4223, 0.4909)  2 Al 2.69, 2 Mg 2.93, 4 Ag 2.93-2.98

## Properties
ρ: 6.21 g cm⁻³
space-group type: P2/m
calculated formation energy: -0.4 eV/f.u.
relative energy among the computed polymorphs: 0.083 eV/atom
final energy: -11.40 eV per formula unit

[10]
VASP calculation (PBE) on an optimized crystal structure of Pm3Ho7Tm.

Lattice parameters (Å, degrees): 5.8251 8.3985 8.3985 83.50 110.24 110.24
Closest atoms and distances in Å follow each position.
Fractional coordinates of all 11 atoms:
Ho (0.2063, 0.2067, 0.2067)  1 Tm 3.26, 2 Pm 3.30, 2 Ho 3.51
Pm (0.0000, 0.7875, 0.2125)  5 Ho 3.22-3.44
Ho (0.0000, 0.5000, 0.5000)  2 Tm 2.91, 2 Pm 3.22
Ho (0.7035, 0.4027, 0.0045)  2 Pm 3.17-3.44, 3 Ho 3.29-3.51
Ho (0.7937, 0.7933, 0.7933)  1 Tm 3.26, 2 Pm 3.30, 2 Ho 3.51
Pm (0.5000, 0.0000, 0.0000)  4 Ho 3.17
Ho (0.2965, 0.5973, 0.9955)  2 Pm 3.17-3.44, 3 Ho 3.29-3.51
Ho (0.2965, 0.9955, 0.5973)  2 Pm 3.17-3.44, 3 Ho 3.29-3.51
Ho (0.7035, 0.0045, 0.4027)  2 Pm 3.17-3.44, 3 Ho 3.29-3.51
Tm (0.5000, 0.5000, 0.5000)  4 Ho 2.91-3.26
Pm (0.0000, 0.2125, 0.7875)  5 Ho 3.22-3.44

## Properties
ρ: 8.07 g cm⁻³
space-group type: C2/m
calculated formation energy: 3.1 eV/f.u.
final energy: -47.70 eV per formula unit

[11]
VASP calculation (PBE) on an optimized crystal structure of Li3Mg3In4.

Lattice parameters (Å, degrees): 8.4329 8.4329 8.4329 109.47 109.47 109.47
Closest atoms and distances in Å follow each position.
Fractional coordinates of all 20 atoms:
In (0.0000, 0.0000, 0.2832)  3 Li 2.86, 3 Mg 3.12
Li (0.8750, 0.6250, 0.7500)  4 In 2.86, 4 Mg 2.98
Li (0.3750, 0.2500, 0.1250)  4 In 2.86, 4 Mg 2.98
Li (0.1250, 0.7500, 0.3750)  4 In 2.86, 4 Mg 2.98
Mg (0.8750, 0.2500, 0.6250)  4 Li 2.98, 4 In 3.12
In (0.7832, 0.5000, 0.0000)  3 Li 2.86, 3 Mg 3.12
Li (0.2500, 0.3750, 0.6250)  4 In 2.86, 4 Mg 2.98
Li (0.7500, 0.1250, 0.8750)  4 In 2.86, 4 Mg 2.98
In (0.5000, 0.2832, 0.5000)  3 Li 2.86, 3 Mg 3.12
Mg (0.3750, 0.1250, 0.7500)  4 Li 2.98, 4 In 3.12
Li (0.6250, 0.8750, 0.2500)  4 In 2.86, 4 Mg 2.98
In (0.2168, 0.7168, 0.7168)  3 Li 2.86, 3 Mg 3.12
Mg (0.2500, 0.8750, 0.1250)  4 Li 2.98, 4 In 3.12
Mg (0.1250, 0.3750, 0.2500)  4 Li 2.98, 4 In 3.12
In (0.5000, 0.7832, 0.5000)  3 Li 2.86, 3 Mg 3.12
In (0.2832, 0.5000, 0.0000)  3 Li 2.86, 3 Mg 3.12
Mg (0.6250, 0.7500, 0.8750)  4 Li 2.98, 4 In 3.12
In (0.7168, 0.2168, 0.2168)  3 Li 2.86, 3 Mg 3.12
In (0.0000, 0.0000, 0.7832)  3 Li 2.86, 3 Mg 3.12
Mg (0.7500, 0.6250, 0.3750)  4 Li 2.98, 4 In 3.12

## Properties
ρ: 3.98 g cm⁻³
space-group type: I-43d
calculated formation energy: -0.2 eV/f.u.
final energy: -21.67 eV per formula unit

> Among the records above, which one has the highest ρ?

ZnPd2Pt4